Record 1
First-principles (PBE) data for a geometry-optimized KC2 structure, as listed in the Alexandria database.

abc: 5.5979 5.5979 6.6328
angles: 90.00 90.00 120.00
Element x y z (fractional)
C: 0.1831 0.0916 0.2500
C: 0.9084 0.8169 0.2500
C: 0.0916 0.9084 0.7500
C: 0.0000 0.0000 0.0000
C: 0.0916 0.1831 0.7500
C: 0.0000 0.0000 0.5000
C: 0.9084 0.0916 0.2500
C: 0.8169 0.9084 0.7500
K: 0.3333 0.6667 0.0172
K: 0.6667 0.3333 0.9828
K: 0.3333 0.6667 0.4828
K: 0.6667 0.3333 0.5172

**Magnetic moment**: 0.308 μB per cell
**Excess energy over the best structure of this formula in the dataset**: 1.016 eV per atom
**E**: -59.9 eV/cell

***

Record 2
First-principles (PBE) data for a geometry-optimized Gd2MgN structure, as listed in the Alexandria database.

abc: 3.5231 3.5231 8.7154
angles: 78.34 78.34 60.00
Site moments in Bohr magnetons follow the coordinates.
Element x y z (fractional)
Gd: 0.7798 0.7798 0.6607  7.22
Gd: 0.2202 0.2202 0.3393  7.22
Mg: 0.0000 0.0000 0.0000  0.01
N: 0.5000 0.5000 0.5000  -0.10

**Magnetic moment**: 15.117 μB per cell
**E**: -41.2 eV/cell
**Energy relative to the elements, uncorrected**: -0.78 eV per atom

***

Record 3
First-principles (PBE) data for a geometry-optimized TmCdAg2 structure, as listed in the Alexandria database.

abc: 4.0007 4.6538 4.6538
angles: 90.00 90.00 90.00
Element x y z (fractional)
Ag: 0.0000 0.0000 0.5000
Ag: 0.0000 0.5000 0.0000
Tm: 0.5000 0.5000 0.5000
Cd: 0.5000 0.0000 0.0000

**Magnetic moment**: 0.000 μB per cell
**Excess energy over the best structure of this formula in the dataset**: 0.118 eV per atom
**E**: -11.7 eV/cell

***

Record 4
First-principles (PBE) data for a geometry-optimized BaMgZn2Au5 structure, as listed in the Alexandria database.

abc: 5.0442 5.0442 8.0230
angles: 90.00 90.00 90.00
Element x y z (fractional)
Au: 0.5000 0.0000 0.1831
Au: 0.0000 0.5000 0.1831
Au: 0.5000 0.0000 0.8169
Au: 0.5000 0.5000 0.5000
Au: 0.0000 0.5000 0.8169
Zn: 0.5000 0.5000 0.1762
Zn: 0.5000 0.5000 0.8238
Mg: 0.0000 0.0000 0.0000
Ba: 0.0000 0.0000 0.5000

**Magnetic moment**: 0.000 μB per cell
**E**: -25.5 eV/cell